# PBE PrDyZr2, optimized geometry
data_PrDyZr2
_chemical_formula_sum 'Pr3 Dy3 Zr6'
_symmetry_space_group_name_H-M 'R -3 m'
_symmetry_Int_Tables_number 166
_symmetry_space_group_name_Hall '-R 3 2"'
_cell_length_a 3.3814
_cell_length_b 3.3814
_cell_length_c 33.1804
_cell_angle_alpha 90.00
_cell_angle_beta 90.00
_cell_angle_gamma 120.00
loop_
_atom_site_label
_atom_site_fract_x
_atom_site_fract_y
_atom_site_fract_z
Pr1 0.0000 0.0000 0.0000
Dy1 0.0000 0.0000 0.5000
Zr1 0.0000 0.0000 0.2486
# * crystal system: trigonal
# * VASP energy: -6.4382 eV per atom
# * energy of formation from the pure elements: 0.181 eV/atom
# * N(E_F): 5.7 states/eV/f.u.
# * distance to the lowest polymorph of the same formula: 0.006 eV per atom
# * total magnetization: 0.00 μB per formula unit

---

# PBE CaAgTe2, optimized geometry
data_CaAgTe2
_chemical_formula_sum 'Ca2 Ag2 Te4'
_symmetry_space_group_name_H-M 'I m m 2'
_symmetry_Int_Tables_number 44
_cell_length_a 4.101
_cell_length_b 4.242
_cell_length_c 13.283
_cell_angle_alpha 90.00
_cell_angle_beta 90.00
_cell_angle_gamma 90.00
loop_
_symmetry_equiv_pos_as_xyz
'x,y,z'
'-x,-y,z'
'-x,y,z'
'x,-y,z'
'x+1/2,y+1/2,z+1/2'
'-x+1/2,-y+1/2,z+1/2'
'-x+1/2,y+1/2,z+1/2'
'x+1/2,-y+1/2,z+1/2'
loop_
_atom_site_label
_atom_site_fract_x
_atom_site_fract_y
_atom_site_fract_z
Ca1 0.000 0.000 0.000
Ag1 0.000 0.500 0.249
Te1 0.000 0.000 0.576
Te2 0.000 0.500 0.817
# * crystal system: orthorhombic
# * VASP energy: -3.3950 eV per atom
# * N(E_F): 2.8 states/eV/f.u.
# * uncorrected formation energy: -0.611 eV/atom
# * total magnetization: 0.00 μB per formula unit

---

# PBE BaB3Br, optimized geometry
data_BaB3Br
_chemical_formula_sum 'Ba1 B3 Br1'
_symmetry_space_group_name_H-M 'P m -3 m'
_symmetry_Int_Tables_number 221
_symmetry_space_group_name_Hall '-P 4 2 3'
_cell_length_a 5.511
_cell_length_b 5.511
_cell_length_c 5.511
_cell_angle_alpha 90.00
_cell_angle_beta 90.00
_cell_angle_gamma 90.00
loop_
_atom_site_label
_atom_site_fract_x
_atom_site_fract_y
_atom_site_fract_z
Ba1 0.000 0.000 0.000
B1 0.000 0.000 0.500
Br1 0.500 0.500 0.500
# * crystal system: cubic
# * VASP energy: -2.0455 eV per atom
# * N(E_F): 6.1 states/eV/f.u.
# * uncorrected formation energy: 2.680 eV/atom
# * distance to the lowest polymorph of the same formula: 0.692 eV per atom
# * total magnetization: 0.25 μB per formula unit

---

# PBE Pu2AsF, optimized geometry
data_Pu2AsF
_chemical_formula_sum 'Pu2 As1 F1'
_symmetry_space_group_name_H-M 'P 4/m m m'
_symmetry_Int_Tables_number 123
_symmetry_space_group_name_Hall '-P 4 2'
_cell_length_a 3.524
_cell_length_b 3.524
_cell_length_c 6.598
_cell_angle_alpha 90.00
_cell_angle_beta 90.00
_cell_angle_gamma 90.00
loop_
_atom_site_label
_atom_site_fract_x
_atom_site_fract_y
_atom_site_fract_z
Pu1 0.000 0.000 0.245
As1 0.500 0.500 0.000
F1 0.500 0.500 0.500
# * crystal system: tetragonal
# * VASP energy: -10.1407 eV per atom
# * N(E_F): 13.1 states/eV/f.u.
# * uncorrected formation energy: -1.345 eV/atom
# * distance to the lowest polymorph of the same formula: 0.039 eV per atom
# * total magnetization: 11.97 μB per formula unit

---

Repeat the first record exactly.
# PBE PrDyZr2, optimized geometry
data_PrDyZr2
_chemical_formula_sum 'Pr3 Dy3 Zr6'
_symmetry_space_group_name_H-M 'R -3 m'
_symmetry_Int_Tables_number 166
_symmetry_space_group_name_Hall '-R 3 2"'
_cell_length_a 3.3814
_cell_length_b 3.3814
_cell_length_c 33.1804
_cell_angle_alpha 90.00
_cell_angle_beta 90.00
_cell_angle_gamma 120.00
loop_
_atom_site_label
_atom_site_fract_x
_atom_site_fract_y
_atom_site_fract_z
Pr1 0.0000 0.0000 0.0000
Dy1 0.0000 0.0000 0.5000
Zr1 0.0000 0.0000 0.2486
# * crystal system: trigonal
# * VASP energy: -6.4382 eV per atom
# * energy of formation from the pure elements: 0.181 eV/atom
# * N(E_F): 5.7 states/eV/f.u.
# * distance to the lowest polymorph of the same formula: 0.006 eV per atom
# * total magnetization: 0.00 μB per formula unit

---

Question: Which value of VASP energy does entry 4 give?
Answer: -10.1407 eV per atom

---

Question: The lowest N(E_F) belongs to which entry?
Answer: CaAgTe2

---

Question: The lowest VASP energy belongs to which entry?
Answer: Pu2AsF